# CuGeOs2, relaxed, DFT PBE
data_CuGeOs2
_space_group_name_H-M_alt 'I -4 2 d'
_space_group_IT_number 122
_space_group_name_Hall 'I -4 2bw'
_cell_length_a 3.7799
_cell_length_b 3.7799
_cell_length_c 17.7442
_cell_angle_alpha 90.00
_cell_angle_beta 90.00
_cell_angle_gamma 90.00
loop_
_atom_site_label
_atom_site_type_symbol
_atom_site_fract_x
_atom_site_fract_y
_atom_site_fract_z
_atom_site_occupancy
Cu1 Cu 0.0000 0.0000 0.0000 1
Ge1 Ge 0.0000 0.0000 0.5000 1
Os1 Os 0.2027 0.2500 0.1250 1
# Calculated total energy (eV/atom): -7.110
# V (Å³ per atom): 15.84

=====

# CuGeOs3, relaxed, DFT PBE
data_CuGeOs3
_space_group_name_H-M_alt 'P m -3 m'
_space_group_IT_number 221
_space_group_name_Hall '-P 4 2 3'
_cell_length_a 4.5112
_cell_length_b 4.5112
_cell_length_c 4.5112
_cell_angle_alpha 90.00
_cell_angle_beta 90.00
_cell_angle_gamma 90.00
loop_
_atom_site_label
_atom_site_type_symbol
_atom_site_fract_x
_atom_site_fract_y
_atom_site_fract_z
_atom_site_occupancy
Cu1 Cu 0.0000 0.0000 0.0000 1
Ge1 Ge 0.5000 0.5000 0.5000 1
Os1 Os 0.0000 0.5000 0.5000 1
# V (Å³ per atom): 18.36
# Distance to the lowest polymorph of the same formula (kJ per mole of atoms): 0.0